Crystalline Ca3HgH at its relaxed geometry. Source: the Alexandria database, functional GGA-PBE.

Values from the calculation:
* energy above the lowest structure with this stoichiometry: 0.0000 eV per atom
* D(E_F): 0.74 states/eV/atom

a = 3.944 Å, b = 14.100 Å, c = 9.801 Å
α = 90.00°, β = 90.00°, γ = 90.00°
Space group Cmcm (No. 63)
Asymmetric unit:
Ca  0.000  0.045  0.250 [4 per cell]
Ca  0.000  0.359  0.065 [8 per cell]
Hg  0.000  0.271  0.750 [4 per cell]
H  0.000  0.459  0.250 [4 per cell]

***

Crystalline CaHgH at its relaxed geometry. Source: the Alexandria database, functional GGA-PBE.

Values from the calculation:
* energy above the lowest structure with this stoichiometry: 0.0000 eV per atom
* D(E_F): 0.42 states/eV/atom

a = 3.876 Å, b = 3.876 Å, c = 7.716 Å
α = 90.00°, β = 90.00°, γ = 90.00°
Space group P4/nmm (No. 129, origin choice 2)
Asymmetric unit:
Ca  0.250  0.250  0.158 [2 per cell]
Hg  0.250  0.250  0.602 [2 per cell]
H  0.250  0.750  0.000 [2 per cell]

***

Crystalline Ca2HgH at its relaxed geometry. Source: the Alexandria database, functional GGA-PBE.

Values from the calculation:
* energy above the lowest structure with this stoichiometry: 0.0000 eV per atom
* D(E_F): 0.53 states/eV/atom

a = 5.420 Å, b = 12.896 Å, c = 5.390 Å
α = 90.00°, β = 90.00°, γ = 90.00°
Space group Cccm (No. 66)
Asymmetric unit:
Ca  0.232  0.104  0.000 [8 per cell]
Hg  0.250  0.250  0.500 [4 per cell]
H  0.000  0.000  0.250 [4 per cell]

***

Crystalline Ca2HgH at its relaxed geometry. Source: the Alexandria database, functional GGA-PBE.

Values from the calculation:
* energy above the lowest structure with this stoichiometry: 0.0688 eV per atom
* D(E_F): 0.47 states/eV/atom

a = 6.306 Å, b = 6.237 Å, c = 11.194 Å
α = 90.00°, β = 117.25°, γ = 90.00°
Space group P2/c (No. 13)
Asymmetric unit:
Ca  0.000  0.249  0.075 [4 per cell]
Ca  0.308  0.182  0.838 [4 per cell]
Hg  0.447  0.332  0.366 [4 per cell]
H  0.014  0.108  0.623 [4 per cell]

***

Crystalline Ca2InHgH at its relaxed geometry. Source: the Alexandria database, functional GGA-PBE.

Values from the calculation:
* energy above the lowest structure with this stoichiometry: 0.0000 eV per atom
* D(E_F): 0.42 states/eV/atom

a = 4.942 Å, b = 4.942 Å, c = 4.541 Å
α = 90.00°, β = 90.00°, γ = 90.00°
Space group P4/mmm (No. 123)
Asymmetric unit:
Ca  0.000  0.500  0.000 [2 per cell]
In  0.000  0.000  0.500 [1 per cell]
Hg  0.500  0.500  0.500 [1 per cell]
H  0.500  0.500  0.000 [1 per cell]

***

Crystalline Ca2InHgH at its relaxed geometry. Source: the Alexandria database, functional GGA-PBE.

Values from the calculation:
* energy above the lowest structure with this stoichiometry: 0.0106 eV per atom
* D(E_F): 0.52 states/eV/atom

a = 5.095 Å, b = 5.095 Å, c = 4.331 Å
α = 90.00°, β = 90.00°, γ = 90.00°
Space group P4/mmm (No. 123)
Asymmetric unit:
Ca  0.000  0.500  0.000 [2 per cell]
In  0.000  0.000  0.500 [1 per cell]
Hg  0.500  0.500  0.500 [1 per cell]
H  0.000  0.000  0.000 [1 per cell]

***

Crystalline CaInHgH at its relaxed geometry. Source: the Alexandria database, functional GGA-PBE.

Values from the calculation:
* total DFT energy (no corrections): -0.08961 hartree per atom
* D(E_F): 0.34 states/eV/atom

a = 4.245 Å, b = 4.245 Å, c = 9.448 Å
α = 90.00°, β = 90.00°, γ = 90.00°
Space group P4/nmm (No. 129, origin choice 2)
Asymmetric unit:
Ca  0.250  0.250  0.111 [2 per cell]
In  0.250  0.750  0.500 [2 per cell]
Hg  0.250  0.250  0.748 [2 per cell]
H  0.250  0.750  0.000 [2 per cell]

***

Crystalline CaLa2HgH at its relaxed geometry. Source: the Alexandria database, functional GGA-PBE.

Values from the calculation:
* energy above the lowest structure with this stoichiometry: 0.0000 eV per atom
* D(E_F): 0.96 states/eV/atom

a = 4.982 Å, b = 4.982 Å, c = 5.181 Å
α = 90.00°, β = 90.00°, γ = 90.00°
Space group P4/mmm (No. 123)
Asymmetric unit:
Ca  0.000  0.000  0.000 [1 per cell]
La  0.000  0.500  0.500 [2 per cell]
Hg  0.500  0.500  0.000 [1 per cell]
H  0.000  0.000  0.500 [1 per cell]

***

Crystalline LiCa2HgH at its relaxed geometry. Source: the Alexandria database, functional GGA-PBE.

Values from the calculation:
* total DFT energy (no corrections): -0.08519 hartree per atom
* D(E_F): 0.40 states/eV/atom

a = 5.073 Å, b = 5.073 Å, c = 4.083 Å
α = 90.00°, β = 90.00°, γ = 90.00°
Space group P4/mmm (No. 123)
Asymmetric unit:
Li  0.000  0.000  0.000 [1 per cell]
Ca  0.000  0.500  0.500 [2 per cell]
Hg  0.500  0.500  0.000 [1 per cell]
H  0.000  0.000  0.500 [1 per cell]

***

Crystalline Li2CaHgH at its relaxed geometry. Source: the Alexandria database, functional GGA-PBE.

Values from the calculation:
* total DFT energy (no corrections): -0.08175 hartree per atom
* D(E_F): 0.23 states/eV/atom

a = 4.429 Å, b = 4.429 Å, c = 4.635 Å
α = 90.00°, β = 90.00°, γ = 90.00°
Space group P4/mmm (No. 123)
Asymmetric unit:
Li  0.000  0.500  0.000 [2 per cell]
Ca  0.000  0.000  0.500 [1 per cell]
Hg  0.500  0.500  0.500 [1 per cell]
H  0.000  0.000  0.000 [1 per cell]

***

Crystalline NaCaHgH2 at its relaxed geometry. Source: the Alexandria database, functional GGA-PBE.

Values from the calculation:
* total DFT energy (no corrections): -0.07636 hartree per atom
* D(E_F): 0.45 states/eV/atom

a = 4.313 Å, b = 4.313 Å, c = 7.358 Å
α = 90.00°, β = 90.00°, γ = 90.00°
Space group P4/mmm (No. 123)
Asymmetric unit:
Na  0.000  0.000  0.000 [1 per cell]
Ca  0.000  0.000  0.500 [1 per cell]
Hg  0.500  0.500  0.000 [1 per cell]
H  0.000  0.500  0.500 [2 per cell]

***

Crystalline NaCa2HgH at its relaxed geometry. Source: the Alexandria database, functional GGA-PBE.

Values from the calculation:
* total DFT energy (no corrections): -0.07742 hartree per atom
* D(E_F): 0.46 states/eV/atom

a = 5.130 Å, b = 5.130 Å, c = 4.393 Å
α = 90.00°, β = 90.00°, γ = 90.00°
Space group P4/mmm (No. 123)
Asymmetric unit:
Na  0.000  0.000  0.000 [1 per cell]
Ca  0.000  0.500  0.500 [2 per cell]
Hg  0.500  0.500  0.000 [1 per cell]
H  0.000  0.000  0.500 [1 per cell]

***

Crystalline CaNb2HgH at its relaxed geometry. Source: the Alexandria database, functional GGA-PBE.

Values from the calculation:
* total DFT energy (no corrections): -0.18113 hartree per atom
* D(E_F): 0.78 states/eV/atom

a = 4.120 Å, b = 4.120 Å, c = 5.262 Å
α = 90.00°, β = 90.00°, γ = 90.00°
Space group P4/mmm (No. 123)
Asymmetric unit:
Ca  0.000  0.000  0.000 [1 per cell]
Nb  0.000  0.500  0.500 [2 per cell]
Hg  0.500  0.500  0.000 [1 per cell]
H  0.500  0.500  0.500 [1 per cell]

***

Crystalline Ca2NiHgH6 at its relaxed geometry. Source: the Alexandria database, functional GGA-PBE.

Values from the calculation:
* total DFT energy (no corrections): -0.12310 hartree per atom
* D(E_F): 0.16 states/eV/atom

a = 4.5816 Å, b = 4.5816 Å, c = 7.1579 Å
α = 90.00°, β = 90.00°, γ = 120.00°
Space group P-3m1 (No. 164)
Asymmetric unit:
Ca  0.3333  0.6667  0.3088 [2 per cell]
Ni  0.0000  0.0000  0.5000 [1 per cell]
Hg  0.0000  0.0000  0.0000 [1 per cell]
H  0.1650  0.3301  0.6215 [6 per cell]

***

Crystalline Ca2HgHPd at its relaxed geometry. Source: the Alexandria database, functional GGA-PBE.

Values from the calculation:
* energy above the lowest structure with this stoichiometry: 0.0000 eV per atom
* D(E_F): 0.32 states/eV/atom

a = 5.112 Å, b = 5.112 Å, c = 3.791 Å
α = 90.00°, β = 90.00°, γ = 90.00°
Space group P4/mmm (No. 123)
Asymmetric unit:
Ca  0.000  0.500  0.000 [2 per cell]
Hg  0.000  0.000  0.500 [1 per cell]
H  0.500  0.500  0.000 [1 per cell]
Pd  0.500  0.500  0.500 [1 per cell]

***

Crystalline Ca2Hg2HPd4 at its relaxed geometry. Source: the Alexandria database, functional GGA-PBE.

Values from the calculation:
* total DFT energy (no corrections): -0.13452 hartree per atom
* D(E_F): 0.20 states/eV/atom

a = 6.085 Å, b = 6.085 Å, c = 8.473 Å
α = 90.00°, β = 90.00°, γ = 90.00°
Space group I4/mmm (No. 139)
Asymmetric unit:
Ca  0.000  0.000  0.226 [4 per cell]
Hg  0.000  0.500  0.250 [4 per cell]
H  0.000  0.000  0.500 [2 per cell]
Pd  0.238  0.238  0.500 [8 per cell]

***

Crystalline Ca2HgHPd at its relaxed geometry. Source: the Alexandria database, functional GGA-PBE.

Values from the calculation:
* energy above the lowest structure with this stoichiometry: 0.1602 eV per atom
* D(E_F): 0.43 states/eV/atom

a = 4.813 Å, b = 4.813 Å, c = 4.263 Å
α = 90.00°, β = 90.00°, γ = 90.00°
Space group P4/mmm (No. 123)
Asymmetric unit:
Ca  0.000  0.500  0.000 [2 per cell]
Hg  0.000  0.000  0.500 [1 per cell]
H  0.000  0.000  0.000 [1 per cell]
Pd  0.500  0.500  0.500 [1 per cell]

***

Crystalline CaHgHPd2 at its relaxed geometry. Source: the Alexandria database, functional GGA-PBE.

Values from the calculation:
* total DFT energy (no corrections): -0.13257 hartree per atom
* D(E_F): 0.19 states/eV/atom

a = 4.206 Å, b = 4.206 Å, c = 4.502 Å
α = 90.00°, β = 90.00°, γ = 90.00°
Space group P4/mmm (No. 123)
Asymmetric unit:
Ca  0.000  0.000  0.000 [1 per cell]
Hg  0.500  0.500  0.000 [1 per cell]
H  0.000  0.000  0.500 [1 per cell]
Pd  0.000  0.500  0.500 [2 per cell]

***

Crystalline Ca2HgHPd6 at its relaxed geometry. Source: the Alexandria database, functional GGA-PBE.

Values from the calculation:
* total DFT energy (no corrections): -0.15875 hartree per atom
* D(E_F): 0.47 states/eV/atom

a = 5.657 Å, b = 5.676 Å, c = 7.327 Å
α = 67.44°, β = 67.31°, γ = 60.13°
Space group P-1 (No. 2)
Asymmetric unit:
Ca  0.224  0.232  0.321 [2 per cell]
Hg  0.500  0.500  0.500 [1 per cell]
H  0.000  0.000  0.000 [1 per cell]
Pd  0.226  0.710  0.837 [2 per cell]
Pd  0.228  0.218  0.827 [2 per cell]
Pd  0.275  0.782  0.172 [2 per cell]

***

Crystalline Ca2HgHPt at its relaxed geometry. Source: the Alexandria database, functional GGA-PBE.

Values from the calculation:
* total DFT energy (no corrections): -0.12385 hartree per atom
* D(E_F): 0.52 states/eV/atom

a = 5.102 Å, b = 5.102 Å, c = 3.766 Å
α = 90.00°, β = 90.00°, γ = 90.00°
Space group P4/mmm (No. 123)
Asymmetric unit:
Ca  0.000  0.500  0.000 [2 per cell]
Hg  0.000  0.000  0.500 [1 per cell]
H  0.500  0.500  0.000 [1 per cell]
Pt  0.500  0.500  0.500 [1 per cell]

***

no.,spin magnetization (μB per atom)
1,0.00
2,0.00
3,0.00
4,0.00
5,0.00
6,0.00
7,0.00
8,0.00
9,0.00
10,0.00
11,0.00
12,0.00
13,0.00
14,0.00
15,0.00
16,0.00
17,0.00
18,0.00
19,0.00
20,0.00